Record 1
Computed, not measured: a geometry-optimized LuMgGePt structure at the PBE level of DFT.

Cell: 4.7516 4.7516 4.7516 Å, 60.00 60.00 60.00°
Sites, in units of the cell vectors:
Lu 0.0000 0.0000 0.0000
Mg 0.5000 0.5000 0.5000
Ge 0.7500 0.7500 0.7500
Pt 0.2500 0.2500 0.2500

Summary:
- Symmetry: F-43m (216)
- Energy of formation: -3.1 eV/f.u.

Record 2
Computed, not measured: a geometry-optimized LuMgGeRh structure at the PBE level of DFT.

Cell: 4.6943 4.6943 4.6943 Å, 60.00 60.00 60.00°
Sites, in units of the cell vectors:
Lu 0.0000 0.0000 0.0000
Mg 0.5000 0.5000 0.5000
Ge 0.2500 0.2500 0.2500
Rh 0.7500 0.7500 0.7500

Summary:
- Symmetry: F-43m (216)
- Energy of formation: -2.3 eV/f.u.

Record 3
Computed, not measured: a geometry-optimized LuMgZnGe structure at the PBE level of DFT.

Cell: 4.8236 4.8236 4.8236 Å, 60.00 60.00 60.00°
Sites, in units of the cell vectors:
Lu 0.0000 0.0000 0.0000
Mg 0.5000 0.5000 0.5000
Zn 0.7500 0.7500 0.7500
Ge 0.2500 0.2500 0.2500

Summary:
- Symmetry: F-43m (216)
- Energy of formation: -1.2 eV/f.u.

Record 4
Computed, not measured: a geometry-optimized LuMn6Ge6 structure at the PBE level of DFT.

Cell: 5.1471 5.1471 8.1337 Å, 90.00 90.00 120.00°
Sites, in units of the cell vectors:
Lu 0.0000 0.0000 0.0000
Mn 0.0000 0.5000 0.2500
Mn 0.0000 0.5000 0.7500
Mn 0.5000 0.0000 0.2500
Mn 0.5000 0.0000 0.7500
Mn 0.5000 0.5000 0.2500
Mn 0.5000 0.5000 0.7500
Ge 0.0000 0.0000 0.3429
Ge 0.0000 0.0000 0.6571
Ge 0.3333 0.6667 0.0000
Ge 0.3333 0.6667 0.5000
Ge 0.6667 0.3333 0.0000
Ge 0.6667 0.3333 0.5000

Summary:
- Symmetry: P6/mmm (191)
- Energy of formation: -4.1 eV/f.u.

Record 5
Computed, not measured: a geometry-optimized LuMn6Sn4Ge2 structure at the PBE level of DFT.

Cell: 5.3270 5.3270 8.6627 Å, 90.00 90.00 120.00°
Sites, in units of the cell vectors:
Lu 0.0000 0.0000 0.0000
Mn 0.0000 0.5000 0.2322
Mn 0.0000 0.5000 0.7678
Mn 0.5000 0.0000 0.2322
Mn 0.5000 0.0000 0.7678
Mn 0.5000 0.5000 0.2322
Mn 0.5000 0.5000 0.7678
Sn 0.0000 0.0000 0.3326
Sn 0.0000 0.0000 0.6674
Sn 0.3333 0.6667 0.5000
Sn 0.6667 0.3333 0.5000
Ge 0.3333 0.6667 0.0000
Ge 0.6667 0.3333 0.0000

Summary:
- Symmetry: P6/mmm (191)
- Energy of formation: -2.8 eV/f.u.

Record 6
Computed, not measured: a geometry-optimized NaLuGe4 structure at the PBE level of DFT.

Cell: 5.5852 5.5852 5.5852 Å, 60.00 60.00 60.00°
Sites, in units of the cell vectors:
Na 0.0000 0.0000 0.0000
Lu 0.7500 0.7500 0.7500
Ge 0.3755 0.3755 0.3755
Ge 0.3755 0.3755 0.8736
Ge 0.3755 0.8736 0.3755
Ge 0.8736 0.3755 0.3755

Summary:
- Symmetry: F-43m (216)
- Energy of formation: -1.2 eV/f.u.